--- P ---
A relaxed structure of Ba2YOs, computed with PBE-GGA.

```
data_Ba2YOs
_cell_length_a 5.409
_cell_length_b 15.761
_cell_length_c 4.251
_cell_angle_alpha 90.00
_cell_angle_beta 90.00
_cell_angle_gamma 90.00
_space_group_name_H-M_alt 'C m m m'
_space_group_IT_number 65
_space_group_name_Hall '-C 2 2'
loop_
_atom_site_label
_atom_site_type_symbol
_atom_site_fract_x
_atom_site_fract_y
_atom_site_fract_z
_atom_site_occupancy
Ba1 Ba 0.000 0.142 0.000 1
Y1 Y 0.000 0.500 0.500 1
Os1 Os 0.000 0.000 0.500 1
```

volume = 45.30 A^3/atom
N(E_F) = 5.350 states/eV per cell
size of the total moment = 0.00 μB/f.u.

***

--- Q ---
A relaxed structure of Ba2YOs, computed with PBE-GGA.

```
data_Ba2YOs
_cell_length_a 3.671
_cell_length_b 3.671
_cell_length_c 10.727
_cell_angle_alpha 90.00
_cell_angle_beta 90.00
_cell_angle_gamma 90.00
_space_group_name_H-M_alt 'P 4 m m'
_space_group_IT_number 99
loop_
_space_group_symop_operation_xyz
'x,y,z'
'-y,x,z'
'-x,-y,z'
'y,-x,z'
'-x,y,z'
'y,x,z'
'x,-y,z'
'-y,-x,z'
loop_
_atom_site_label
_atom_site_type_symbol
_atom_site_fract_x
_atom_site_fract_y
_atom_site_fract_z
_atom_site_occupancy
Ba1 Ba 0.000 0.000 0.000 1
Ba2 Ba 0.500 0.500 0.372 1
Y1 Y 0.500 0.500 0.692 1
Os1 Os 0.000 0.000 0.565 1
```

volume = 36.14 A^3/atom
N(E_F) = 4.498 states/eV per cell
size of the total moment = 0.89 μB/f.u.

***

--- R ---
A relaxed structure of Ba2YOs, computed with PBE-GGA.

```
data_Ba2YOs
_cell_length_a 3.8152
_cell_length_b 3.8152
_cell_length_c 34.2451
_cell_angle_alpha 90.00
_cell_angle_beta 90.00
_cell_angle_gamma 120.00
_space_group_name_H-M_alt 'R -3 m'
_space_group_IT_number 166
_space_group_name_Hall '-R 3 2"'
loop_
_atom_site_label
_atom_site_type_symbol
_atom_site_fract_x
_atom_site_fract_y
_atom_site_fract_z
_atom_site_occupancy
Ba1 Ba 0.0000 0.0000 0.2298 1
Y1 Y 0.0000 0.0000 0.0000 1
Os1 Os 0.0000 0.0000 0.5000 1
```

volume = 35.97 A^3/atom
N(E_F) = 20.230 states/eV per cell
size of the total moment = 0.84 μB/f.u.

***

--- S ---
A relaxed structure of Ba2YOs, computed with PBE-GGA.

```
data_Ba2YOs
_cell_length_a 4.7321
_cell_length_b 4.7321
_cell_length_c 26.4289
_cell_angle_alpha 90.00
_cell_angle_beta 90.00
_cell_angle_gamma 120.00
_space_group_name_H-M_alt 'R 3 m'
_space_group_IT_number 160
_space_group_name_Hall 'R 3 -2"'
loop_
_atom_site_label
_atom_site_type_symbol
_atom_site_fract_x
_atom_site_fract_y
_atom_site_fract_z
_atom_site_occupancy
Ba1 Ba 0.0000 0.0000 0.0000 1
Ba2 Ba 0.0000 0.0000 0.1790 1
Y1 Y 0.0000 0.0000 0.7559 1
Os1 Os 0.0000 0.0000 0.4179 1
```

volume = 42.71 A^3/atom
N(E_F) = 15.549 states/eV per cell
size of the total moment = 0.00 μB/f.u.

***

Energy above the most stable structure, in eV/atom: P 0.080; Q 0.000; R 0.622; S 0.027

***

--- P ---
A relaxed structure of Ba2YOs, computed with PBE-GGA.

```
data_Ba2YOs
_cell_length_a 7.856
_cell_length_b 7.856
_cell_length_c 7.856
_cell_angle_alpha 90.00
_cell_angle_beta 90.00
_cell_angle_gamma 90.00
_space_group_name_H-M_alt 'F m -3 m'
_space_group_IT_number 225
_space_group_name_Hall '-F 4 2 3'
loop_
_atom_site_label
_atom_site_type_symbol
_atom_site_fract_x
_atom_site_fract_y
_atom_site_fract_z
_atom_site_occupancy
Ba1 Ba 0.250 0.250 0.250 1
Y1 Y 0.000 0.000 0.000 1
Os1 Os 0.000 0.000 0.500 1
```

volume = 30.30 A^3/atom
N(E_F) = 19.233 states/eV per cell
size of the total moment = 0.00 μB/f.u.

***

--- Q ---
A relaxed structure of Ba2YOs, computed with PBE-GGA.

```
data_Ba2YOs
_cell_length_a 6.397
_cell_length_b 10.026
_cell_length_c 3.942
_cell_angle_alpha 90.00
_cell_angle_beta 90.00
_cell_angle_gamma 90.00
_space_group_name_H-M_alt 'C m m m'
_space_group_IT_number 65
_space_group_name_Hall '-C 2 2'
loop_
_atom_site_label
_atom_site_type_symbol
_atom_site_fract_x
_atom_site_fract_y
_atom_site_fract_z
_atom_site_occupancy
Ba1 Ba 0.250 0.250 0.000 1
Y1 Y 0.000 0.000 0.500 1
Os1 Os 0.000 0.500 0.500 1
```

volume = 31.61 A^3/atom
N(E_F) = 7.450 states/eV per cell
size of the total moment = 0.00 μB/f.u.

***

Energy above the most stable structure, in eV/atom: P 0.000; Q 0.015

***

--- P ---
A relaxed structure of Ba2YOs, computed with PBE-GGA.

```
data_Ba2YOs
_cell_length_a 5.521
_cell_length_b 5.521
_cell_length_c 7.795
_cell_angle_alpha 90.00
_cell_angle_beta 90.00
_cell_angle_gamma 90.00
_space_group_name_H-M_alt 'I -4 m 2'
_space_group_IT_number 119
_space_group_name_Hall 'I -4 -2'
loop_
_atom_site_label
_atom_site_type_symbol
_atom_site_fract_x
_atom_site_fract_y
_atom_site_fract_z
_atom_site_occupancy
Ba1 Ba 0.000 0.000 0.000 1
Ba2 Ba 0.000 0.500 0.250 1
Y1 Y 0.000 0.500 0.750 1
Os1 Os 0.000 0.000 0.500 1
```

volume = 29.70 A^3/atom
N(E_F) = 6.868 states/eV per cell
size of the total moment = 0.00 μB/f.u.

***

--- Q ---
A relaxed structure of Ba2YOs, computed with PBE-GGA.

```
data_Ba2YOs
_cell_length_a 3.931
_cell_length_b 6.185
_cell_length_c 12.187
_cell_angle_alpha 90.00
_cell_angle_beta 90.00
_cell_angle_gamma 90.00
_space_group_name_H-M_alt 'I m m 2'
_space_group_IT_number 44
loop_
_space_group_symop_operation_xyz
'x,y,z'
'-x,-y,z'
'-x,y,z'
'x,-y,z'
'x+1/2,y+1/2,z+1/2'
'-x+1/2,-y+1/2,z+1/2'
'-x+1/2,y+1/2,z+1/2'
'x+1/2,-y+1/2,z+1/2'
loop_
_atom_site_label
_atom_site_type_symbol
_atom_site_fract_x
_atom_site_fract_y
_atom_site_fract_z
_atom_site_occupancy
Ba1 Ba 0.000 0.000 0.000 1
Ba2 Ba 0.000 0.500 0.179 1
Y1 Y 0.000 0.000 0.352 1
Os1 Os 0.000 0.500 0.704 1
```

volume = 37.04 A^3/atom
N(E_F) = 6.786 states/eV per cell
size of the total moment = 0.00 μB/f.u.

***

Energy above the most stable structure, in eV/atom: P 0.324; Q 0.000

***

--- P ---
A relaxed structure of Ba2Zn2Os, computed with PBE-GGA.

```
data_Ba2Zn2Os
_cell_length_a 7.045
_cell_length_b 7.045
_cell_length_c 5.300
_cell_angle_alpha 90.00
_cell_angle_beta 90.00
_cell_angle_gamma 90.00
_space_group_name_H-M_alt 'P 4/m b m'
_space_group_IT_number 127
_space_group_name_Hall '-P 4 2ab'
loop_
_atom_site_label
_atom_site_type_symbol
_atom_site_fract_x
_atom_site_fract_y
_atom_site_fract_z
_atom_site_occupancy
Ba1 Ba 0.184 0.316 0.000 1
Zn1 Zn 0.151 0.651 0.500 1
Os1 Os 0.000 0.000 0.500 1
```

volume = 26.30 A^3/atom
N(E_F) = 8.320 states/eV per cell
size of the total moment = 0.00 μB/f.u.

***

--- Q ---
A relaxed structure of Ba2Zn2Os, computed with PBE-GGA.

```
data_Ba2Zn2Os
_cell_length_a 6.315
_cell_length_b 6.315
_cell_length_c 7.454
_cell_angle_alpha 90.00
_cell_angle_beta 90.00
_cell_angle_gamma 90.00
_space_group_name_H-M_alt 'I 4/m m m'
_space_group_IT_number 139
_space_group_name_Hall '-I 4 2'
loop_
_atom_site_label
_atom_site_type_symbol
_atom_site_fract_x
_atom_site_fract_y
_atom_site_fract_z
_atom_site_occupancy
Ba1 Ba 0.000 0.500 0.250 1
Zn1 Zn 0.000 0.000 0.165 1
Os1 Os 0.000 0.000 0.500 1
```

volume = 29.73 A^3/atom
N(E_F) = 9.011 states/eV per cell
size of the total moment = 0.00 μB/f.u.

***

Energy above the most stable structure, in eV/atom: P 0.000; Q 0.063

***

--- P ---
A relaxed structure of BaZnOs3, computed with PBE-GGA.

```
data_BaZnOs3
_cell_length_a 5.096
_cell_length_b 5.096
_cell_length_c 5.096
_cell_angle_alpha 90.00
_cell_angle_beta 90.00
_cell_angle_gamma 90.00
_space_group_name_H-M_alt 'P m -3 m'
_space_group_IT_number 221
_space_group_name_Hall '-P 4 2 3'
loop_
_atom_site_label
_atom_site_type_symbol
_atom_site_fract_x
_atom_site_fract_y
_atom_site_fract_z
_atom_site_occupancy
Ba1 Ba 0.000 0.000 0.000 1
Zn1 Zn 0.500 0.500 0.500 1
Os1 Os 0.000 0.000 0.500 1
```

volume = 26.48 A^3/atom
N(E_F) = 7.455 states/eV per cell
size of the total moment = 4.03 μB/f.u.

***

--- Q ---
A relaxed structure of BaZnOs3, computed with PBE-GGA.

```
data_BaZnOs3
_cell_length_a 4.733
_cell_length_b 4.733
_cell_length_c 4.733
_cell_angle_alpha 90.00
_cell_angle_beta 90.00
_cell_angle_gamma 90.00
_space_group_name_H-M_alt 'P m -3 m'
_space_group_IT_number 221
_space_group_name_Hall '-P 4 2 3'
loop_
_atom_site_label
_atom_site_type_symbol
_atom_site_fract_x
_atom_site_fract_y
_atom_site_fract_z
_atom_site_occupancy
Ba1 Ba 0.000 0.000 0.000 1
Zn1 Zn 0.500 0.500 0.500 1
Os1 Os 0.000 0.500 0.500 1
```

volume = 21.20 A^3/atom
N(E_F) = 7.531 states/eV per cell
size of the total moment = 2.09 μB/f.u.

***

Energy above the most stable structure, in eV/atom: P 1.940; Q 0.000